# LiCaW2O8, relaxed, DFT PBE+U
# **Magnetization**: 2.23 Bohr magnetons per cell
# **Uncorrected energy**: -6.800 eV per atom
data_LiCaW2O8
_chemical_formula_sum 'Li2 Ca2 W4 O16'
_cell_length_a 7.3341
_cell_length_b 7.3341
_cell_length_c 6.8828
_cell_angle_alpha 90.00
_cell_angle_beta 90.00
_cell_angle_gamma 90.00
_space_group_name_H-M_alt 'I -4 m 2'
_space_group_IT_number 119
_space_group_name_Hall 'I -4 -2'
loop_
_atom_site_label
_atom_site_fract_x
_atom_site_fract_y
_atom_site_fract_z
Li1 0.0000 0.0000 0.0000
Ca1 0.0000 0.5000 0.7500
W1 0.0000 0.0000 0.5000
W2 0.0000 0.5000 0.2500
O1 0.0000 0.1996 0.6546
O2 0.0000 0.3011 0.0910